# NiPb2Br (GGA-PBE, relaxed)
data_NiPb2Br
_chemical_formula_sum 'Ni1 Pb2 Br1'
_cell_length_a 3.617
_cell_length_b 4.733
_cell_length_c 6.231
_cell_angle_alpha 90.00
_cell_angle_beta 90.00
_cell_angle_gamma 90.00
_symmetry_space_group_name_H-M 'P m m m'
_symmetry_Int_Tables_number 47
_symmetry_space_group_name_Hall '-P 2 2'
loop_
_atom_site_label
_atom_site_fract_x
_atom_site_fract_y
_atom_site_fract_z
_atom_site_occupancy
Ni1 0.000 0.000 0.000 1
Pb1 0.000 0.500 0.500 1
Pb2 0.500 0.500 0.000 1
Br1 0.500 0.000 0.500 1
# Formation energy (no corrections) (meV/atom): 330
# ρ (g/cm3): 8.607
# E above lowest polymorph (kJ per mole of atoms): 40.76
# Calculated volume (A^3/atom): 26.67
# M_tot (μB/f.u.): 0.56



# CsCrS2 (GGA-PBE, relaxed)
data_CsCrS2
_chemical_formula_sum 'Cs4 Cr4 S8'
_cell_length_a 7.447
_cell_length_b 12.555
_cell_length_c 5.475
_cell_angle_alpha 90.00
_cell_angle_beta 111.15
_cell_angle_gamma 90.00
_symmetry_space_group_name_H-M 'C 1 2/c 1'
_symmetry_Int_Tables_number 15
_symmetry_space_group_name_Hall '-C 2yc'
loop_
_atom_site_label
_atom_site_fract_x
_atom_site_fract_y
_atom_site_fract_z
_atom_site_occupancy
Cs1 0.000 0.151 0.250 1
Cr1 0.000 0.499 0.750 1
S1 0.175 0.404 0.087 1
# Formation energy (no corrections) (meV/atom): -927
# ρ (g/cm3): 3.464
# E above lowest polymorph (kJ per mole of atoms): 0.00
# Calculated volume (A^3/atom): 29.84
# M_tot (μB/f.u.): 0.52



# Pm2PrPO8 (GGA-PBE, relaxed)
data_Pm2PrPO8
_chemical_formula_sum 'Pm2 Pr1 P1 O8'
_cell_length_a 5.1735
_cell_length_b 5.1735
_cell_length_c 6.5604
_cell_angle_alpha 90.00
_cell_angle_beta 90.00
_cell_angle_gamma 120.00
_symmetry_space_group_name_H-M 'P -3 m 1'
_symmetry_Int_Tables_number 164
_symmetry_space_group_name_Hall '-P 3 2"'
loop_
_atom_site_label
_atom_site_fract_x
_atom_site_fract_y
_atom_site_fract_z
_atom_site_occupancy
Pm1 0.3333 0.6667 0.3643 1
Pr1 0.0000 0.0000 0.0000 1
P1 0.0000 0.0000 0.5000 1
O1 0.1539 0.3078 0.6536 1
O2 0.3333 0.6667 0.0356 1
# Formation energy (no corrections) (meV/atom): -2436
# ρ (g/cm3): 6.442
# Calculated volume (A^3/atom): 12.67
# M_tot (μB/f.u.): 2.02



# Tl2InCuSn (GGA-PBE, relaxed)
data_Tl2InCuSn
_chemical_formula_sum 'Tl2 In1 Cu1 Sn1'
_cell_length_a 5.295
_cell_length_b 5.295
_cell_length_c 5.129
_cell_angle_alpha 90.00
_cell_angle_beta 90.00
_cell_angle_gamma 90.00
_symmetry_space_group_name_H-M 'P 4/m m m'
_symmetry_Int_Tables_number 123
_symmetry_space_group_name_Hall '-P 4 2'
loop_
_atom_site_label
_atom_site_fract_x
_atom_site_fract_y
_atom_site_fract_z
_atom_site_occupancy
Tl1 0.000 0.500 0.000 1
In1 0.000 0.000 0.500 1
Cu1 0.500 0.500 0.000 1
Sn1 0.500 0.500 0.500 1
# VASP energy (eV per atom): -2.926
# ρ (g/cm3): 8.152
# Calculated volume (A^3/atom): 28.76
# M_tot (μB/f.u.): 0.00



# CuGe2PbN (GGA-PBE, relaxed)
data_CuGe2PbN
_chemical_formula_sum 'Cu1 Ge2 Pb1 N1'
_cell_length_a 5.540
_cell_length_b 5.540
_cell_length_c 4.180
_cell_angle_alpha 90.00
_cell_angle_beta 90.00
_cell_angle_gamma 90.00
_symmetry_space_group_name_H-M 'P 4/m m m'
_symmetry_Int_Tables_number 123
_symmetry_space_group_name_Hall '-P 4 2'
loop_
_atom_site_label
_atom_site_fract_x
_atom_site_fract_y
_atom_site_fract_z
_atom_site_occupancy
Cu1 0.000 0.000 0.000 1
Ge1 0.000 0.500 0.500 1
Pb1 0.500 0.500 0.500 1
N1 0.500 0.500 0.000 1
# Formation energy (no corrections) (meV/atom): 1660
# ρ (g/cm3): 5.566
# Calculated volume (A^3/atom): 25.66
# M_tot (μB/f.u.): 0.01



# LiLa3Au2 (GGA-PBE, relaxed)
data_LiLa3Au2
_chemical_formula_sum 'Li4 La12 Au8'
_cell_length_a 6.679
_cell_length_b 14.991
_cell_length_c 6.711
_cell_angle_alpha 90.00
_cell_angle_beta 90.00
_cell_angle_gamma 90.00
_symmetry_space_group_name_H-M 'I b a m'
_symmetry_Int_Tables_number 72
_symmetry_space_group_name_Hall '-I 2 2c'
loop_
_atom_site_label
_atom_site_fract_x
_atom_site_fract_y
_atom_site_fract_z
_atom_site_occupancy
Li1 0.000 0.000 0.250 1
La1 0.000 0.500 0.250 1
La2 0.218 0.181 0.000 1
Au1 0.226 0.119 0.500 1
# VASP energy (eV per atom): -4.368
# ρ (g/cm3): 8.082
# Calculated volume (A^3/atom): 28.00
# M_tot (μB/f.u.): 0.00



# AcLaCu2 (GGA-PBE, relaxed)
data_AcLaCu2
_chemical_formula_sum 'Ac1 La1 Cu2'
_cell_length_a 4.170
_cell_length_b 4.588
_cell_length_c 5.893
_cell_angle_alpha 90.00
_cell_angle_beta 110.23
_cell_angle_gamma 90.00
_symmetry_space_group_name_H-M 'P 1 m 1'
_symmetry_Int_Tables_number 6
_symmetry_space_group_name_Hall 'P -2y'
loop_
_atom_site_label
_atom_site_fract_x
_atom_site_fract_y
_atom_site_fract_z
_atom_site_occupancy
Ac1 0.000 0.000 0.000 1
La1 0.285 0.500 0.570 1
Cu1 0.588 0.500 0.173 1
Cu2 0.706 0.000 0.417 1
# ρ (g/cm3): 7.738
# E above lowest polymorph (kJ per mole of atoms): 0.00
# Calculated volume (A^3/atom): 26.45
# M_tot (μB/f.u.): 0.00



# Nd2InB3Pt12 (GGA-PBE, relaxed)
data_Nd2InB3Pt12
_chemical_formula_sum 'Nd6 In3 B9 Pt36'
_cell_length_a 7.9713
_cell_length_b 7.9713
_cell_length_c 17.7904
_cell_angle_alpha 90.00
_cell_angle_beta 90.00
_cell_angle_gamma 120.00
_symmetry_space_group_name_H-M 'R -3 m'
_symmetry_Int_Tables_number 166
_symmetry_space_group_name_Hall '-R 3 2"'
loop_
_atom_site_label
_atom_site_fract_x
_atom_site_fract_y
_atom_site_fract_z
_atom_site_occupancy
Nd1 0.0000 0.0000 0.1007 1
In1 0.0000 0.0000 0.5000 1
B1 0.0000 0.5000 0.0000 1
Pt1 0.0198 0.5099 0.8796 1
Pt2 0.0592 0.5296 0.3519 1
# VASP energy (eV per atom): -6.221
# ρ (g/cm3): 14.130
# Calculated volume (A^3/atom): 18.13
# M_tot (μB/f.u.): 0.00



Question: The lowest ρ belongs to which entry?
Answer: CsCrS2